Computed, not measured: a relaxed CsTlO2 crystal at the PBE-GGA level of DFT.

a b c (Å): 5.6136 5.5824 6.8933
angles (deg): 97.98 98.28 92.39
Last column: nearest neighbours and their distance in Å.
Atoms (fractional coordinates):
Tl 0.7415 0.3871 0.2202  2 O 2.39-2.40
Cs 0.4342 0.6983 0.7202  6 O 3.03-3.23
O 0.3130 0.2028 0.8859  1 O 1.49
Cs 0.2180 0.9101 0.2191  6 O 3.03-3.23
O 0.9281 0.8174 0.5532  1 O 1.49
Tl 0.9109 0.2213 0.7191  2 O 2.39
O 0.3395 0.4059 0.0535  1 O 1.49
O 0.7242 0.7909 0.3862  1 O 1.49

Properties
- VASP energy: -31.76 eV for the cell shown
- Magnetic moment: 0.00 μB per atom
- D(E_F): 0.0 states/eV/f.u.
- SG: No. 2
- Formation energy (no corrections): -0.687 eV per atom